First-principles (PBE-GGA) data for a relaxed ZnTc crystal, as listed in Alexandria via LeMat-Bulk.

* volume: 66.0 Å³/cell
* SG: R-3m
* energy above the most stable polymorph in this dataset: 272 meV per atom

```
data_ZnTc
_chemical_formula_sum 'Zn2 Tc2'
_symmetry_space_group_name_H-M 'P 1'
_symmetry_Int_Tables_number 1
_cell_length_a 5.028
_cell_length_b 5.028
_cell_length_c 5.028
_cell_angle_alpha 48.77
_cell_angle_beta 48.77
_cell_angle_gamma 48.77
loop_
_symmetry_equiv_pos_as_xyz
'x,y,z'
loop_
_atom_site_label
_atom_site_type_symbol
_atom_site_fract_x
_atom_site_fract_y
_atom_site_fract_z
Zn1 Zn 0.118 0.118 0.118
Zn2 Zn 0.882 0.882 0.882
Tc1 Tc 0.322 0.322 0.322
Tc2 Tc 0.678 0.678 0.678
```

***

First-principles (PBE-GGA) data for a relaxed Co2AgIr crystal, as listed in Alexandria via LeMat-Bulk.

* volume: 56.5 Å³/cell
* SG: Cmmm
* calculated total energy: -24.45 eV for the cell shown

```
data_Co2AgIr
_chemical_formula_sum 'Co2 Ag1 Ir1'
_symmetry_space_group_name_H-M 'P 1'
_symmetry_Int_Tables_number 1
_cell_length_a 2.655
_cell_length_b 2.655
_cell_length_c 9.014
_cell_angle_alpha 90.00
_cell_angle_beta 90.00
_cell_angle_gamma 117.22
loop_
_symmetry_equiv_pos_as_xyz
'x,y,z'
loop_
_atom_site_label
_atom_site_type_symbol
_atom_site_fract_x
_atom_site_fract_y
_atom_site_fract_z
Co1 Co 0.000 0.000 0.238
Co2 Co 0.000 0.000 0.762
Ag1 Ag 0.500 0.500 0.500
Ir1 Ir 0.500 0.500 0.000
```

***

First-principles (PBE-GGA) data for a relaxed K2Sc3PaO8 crystal, as listed in Alexandria via LeMat-Bulk.

* volume: 252.2 Å³/cell
* SG: R3m
* raw formation energy: -2.961 eV/atom

```
data_K2Sc3PaO8
_chemical_formula_sum 'K2 Sc3 Pa1 O8'
_symmetry_space_group_name_H-M 'P 1'
_symmetry_Int_Tables_number 1
_cell_length_a 7.470
_cell_length_b 7.470
_cell_length_c 7.470
_cell_angle_alpha 53.82
_cell_angle_beta 53.82
_cell_angle_gamma 53.82
loop_
_symmetry_equiv_pos_as_xyz
'x,y,z'
loop_
_atom_site_label
_atom_site_type_symbol
_atom_site_fract_x
_atom_site_fract_y
_atom_site_fract_z
K1 K 0.000 0.000 0.000
K2 K 0.362 0.362 0.362
Sc1 Sc 0.340 0.340 0.884
Sc2 Sc 0.340 0.884 0.340
Sc3 Sc 0.884 0.340 0.340
Pa1 Pa 0.821 0.821 0.821
O1 O 0.075 0.075 0.562
O2 O 0.075 0.562 0.075
O3 O 0.133 0.133 0.133
O4 O 0.195 0.621 0.621
O5 O 0.562 0.075 0.075
O6 O 0.621 0.195 0.621
O7 O 0.621 0.621 0.195
O8 O 0.719 0.719 0.719
```

***

First-principles (PBE-GGA) data for a relaxed MgGe2PbSe6 crystal, as listed in Alexandria via LeMat-Bulk.

* volume: 595.2 Å³/cell
* SG: C2/c
* raw formation energy: -0.427 eV/atom

```
data_MgGe2PbSe6
_chemical_formula_sum 'Mg2 Ge4 Pb2 Se12'
_symmetry_space_group_name_H-M 'P 1'
_symmetry_Int_Tables_number 1
_cell_length_a 9.391
_cell_length_b 9.391
_cell_length_c 7.134
_cell_angle_alpha 103.39
_cell_angle_beta 103.39
_cell_angle_gamma 88.28
loop_
_symmetry_equiv_pos_as_xyz
'x,y,z'
loop_
_atom_site_label
_atom_site_type_symbol
_atom_site_fract_x
_atom_site_fract_y
_atom_site_fract_z
Mg1 Mg 0.236 0.764 0.750
Mg2 Mg 0.764 0.236 0.250
Ge1 Ge 0.226 0.377 0.281
Ge2 Ge 0.377 0.226 0.781
Ge3 Ge 0.623 0.774 0.219
Ge4 Ge 0.774 0.623 0.719
Pb1 Pb 0.124 0.876 0.250
Pb2 Pb 0.876 0.124 0.750
Se1 Se 0.038 0.190 0.186
Se2 Se 0.120 0.601 0.408
Se3 Se 0.190 0.038 0.686
Se4 Se 0.308 0.437 0.007
Se5 Se 0.399 0.880 0.092
Se6 Se 0.437 0.308 0.507
Se7 Se 0.563 0.692 0.493
Se8 Se 0.601 0.120 0.908
Se9 Se 0.692 0.563 0.993
Se10 Se 0.810 0.962 0.314
Se11 Se 0.880 0.399 0.592
Se12 Se 0.962 0.810 0.814
```

***

First-principles (PBE-GGA) data for a relaxed Cu2BiPb2 crystal, as listed in Alexandria via LeMat-Bulk.

* volume: 240.9 Å³/cell
* SG: P4/mbm
* energy above the most stable polymorph in this dataset: 189 meV per atom

```
data_Cu2BiPb2
_chemical_formula_sum 'Cu4 Bi2 Pb4'
_symmetry_space_group_name_H-M 'P 1'
_symmetry_Int_Tables_number 1
_cell_length_a 8.523
_cell_length_b 8.523
_cell_length_c 3.316
_cell_angle_alpha 90.00
_cell_angle_beta 90.00
_cell_angle_gamma 90.00
loop_
_symmetry_equiv_pos_as_xyz
'x,y,z'
loop_
_atom_site_label
_atom_site_type_symbol
_atom_site_fract_x
_atom_site_fract_y
_atom_site_fract_z
Cu1 Cu 0.154 0.346 0.000
Cu2 Cu 0.346 0.846 0.000
Cu3 Cu 0.654 0.154 0.000
Cu4 Cu 0.846 0.654 0.000
Bi1 Bi 0.000 0.000 0.500
Bi2 Bi 0.500 0.500 0.500
Pb1 Pb 0.145 0.645 0.500
Pb2 Pb 0.355 0.145 0.500
Pb3 Pb 0.645 0.855 0.500
Pb4 Pb 0.855 0.355 0.500
```

***

First-principles (PBE-GGA) data for a relaxed BaSm2PuO8 crystal, as listed in Alexandria via LeMat-Bulk.

* volume: 189.9 Å³/cell
* SG: P-1
* raw formation energy: -2.707 eV/atom

```
data_BaSm2PuO8
_chemical_formula_sum 'Ba1 Sm2 Pu1 O8'
_symmetry_space_group_name_H-M 'P 1'
_symmetry_Int_Tables_number 1
_cell_length_a 4.519
_cell_length_b 5.389
_cell_length_c 7.822
_cell_angle_alpha 92.03
_cell_angle_beta 93.16
_cell_angle_gamma 92.49
loop_
_symmetry_equiv_pos_as_xyz
'x,y,z'
loop_
_atom_site_label
_atom_site_type_symbol
_atom_site_fract_x
_atom_site_fract_y
_atom_site_fract_z
Ba1 Ba 0.000 0.000 0.000
Sm1 Sm 0.451 0.470 0.737
Sm2 Sm 0.549 0.530 0.263
Pu1 Pu 0.000 0.000 0.500
O1 O 0.075 0.724 0.300
O2 O 0.170 0.826 0.692
O3 O 0.352 0.232 0.476
O4 O 0.480 0.293 0.003
O5 O 0.520 0.707 0.997
O6 O 0.648 0.768 0.524
O7 O 0.830 0.174 0.308
O8 O 0.925 0.276 0.700
```

***

First-principles (PBE-GGA) data for a relaxed ZnCuCl2 crystal, as listed in Alexandria via LeMat-Bulk.

* volume: 81.6 Å³/cell
* SG: P4mm
* energy above the most stable polymorph in this dataset: 244 meV per atom
* raw formation energy: -0.193 eV/atom

```
data_ZnCuCl2
_chemical_formula_sum 'Zn1 Cu1 Cl2'
_symmetry_space_group_name_H-M 'P 1'
_symmetry_Int_Tables_number 1
_cell_length_a 3.194
_cell_length_b 3.194
_cell_length_c 7.998
_cell_angle_alpha 90.00
_cell_angle_beta 90.00
_cell_angle_gamma 90.00
loop_
_symmetry_equiv_pos_as_xyz
'x,y,z'
loop_
_atom_site_label
_atom_site_type_symbol
_atom_site_fract_x
_atom_site_fract_y
_atom_site_fract_z
Zn1 Zn 0.000 0.000 0.000
Cu1 Cu 0.500 0.500 0.791
Cl1 Cl 0.000 0.000 0.633
Cl2 Cl 0.500 0.500 0.179
```

***

First-principles (PBE-GGA) data for a relaxed Ho5Ag2 crystal, as listed in Alexandria via LeMat-Bulk.

* volume: 383.6 Å³/cell
* SG: C2/c
* energy above the most stable polymorph in this dataset: 0 meV per atom

```
data_Ho5Ag2
_chemical_formula_sum 'Ho10 Ag4'
_symmetry_space_group_name_H-M 'P 1'
_symmetry_Int_Tables_number 1
_cell_length_a 8.683
_cell_length_b 8.683
_cell_length_c 6.780
_cell_angle_alpha 90.25
_cell_angle_beta 90.25
_cell_angle_gamma 48.63
loop_
_symmetry_equiv_pos_as_xyz
'x,y,z'
loop_
_atom_site_label
_atom_site_type_symbol
_atom_site_fract_x
_atom_site_fract_y
_atom_site_fract_z
Ho1 Ho 0.001 0.999 0.750
Ho2 Ho 0.217 0.233 0.755
Ho3 Ho 0.233 0.217 0.255
Ho4 Ho 0.262 0.549 0.499
Ho5 Ho 0.451 0.738 0.001
Ho6 Ho 0.549 0.262 0.999
Ho7 Ho 0.738 0.451 0.501
Ho8 Ho 0.767 0.783 0.745
Ho9 Ho 0.783 0.767 0.245
Ho10 Ho 0.999 0.001 0.250
Ag1 Ag 0.136 0.637 0.996
Ag2 Ag 0.363 0.864 0.504
Ag3 Ag 0.637 0.136 0.496
Ag4 Ag 0.864 0.363 0.004
```

***

First-principles (PBE-GGA) data for a relaxed PrZn4Cu6 crystal, as listed in Alexandria via LeMat-Bulk.

* volume: 169.3 Å³/cell
* SG: P-6m2
* calculated total energy: -35.44 eV for the cell shown

```
data_PrZn4Cu6
_chemical_formula_sum 'Pr1 Zn4 Cu6'
_symmetry_space_group_name_H-M 'P 1'
_symmetry_Int_Tables_number 1
_cell_length_a 6.968
_cell_length_b 6.968
_cell_length_c 4.027
_cell_angle_alpha 90.00
_cell_angle_beta 90.00
_cell_angle_gamma 120.00
loop_
_symmetry_equiv_pos_as_xyz
'x,y,z'
loop_
_atom_site_label
_atom_site_type_symbol
_atom_site_fract_x
_atom_site_fract_y
_atom_site_fract_z
Pr1 Pr 0.000 0.000 0.000
Zn1 Zn 0.333 0.667 0.000
Zn2 Zn 0.403 0.202 0.500
Zn3 Zn 0.798 0.202 0.500
Zn4 Zn 0.798 0.597 0.500
Cu1 Cu 0.209 0.418 0.500
Cu2 Cu 0.209 0.791 0.500
Cu3 Cu 0.538 0.076 0.000
Cu4 Cu 0.538 0.462 0.000
Cu5 Cu 0.582 0.791 0.500
Cu6 Cu 0.924 0.462 0.000
```

***

First-principles (PBE-GGA) data for a relaxed ZnCo2Si crystal, as listed in Alexandria via LeMat-Bulk.

* volume: 46.6 Å³/cell
* SG: F-43m
* raw formation energy: 0.030 eV/atom

```
data_ZnCo2Si
_chemical_formula_sum 'Zn1 Co2 Si1'
_symmetry_space_group_name_H-M 'P 1'
_symmetry_Int_Tables_number 1
_cell_length_a 4.041
_cell_length_b 4.041
_cell_length_c 4.041
_cell_angle_alpha 60.00
_cell_angle_beta 60.00
_cell_angle_gamma 60.00
loop_
_symmetry_equiv_pos_as_xyz
'x,y,z'
loop_
_atom_site_label
_atom_site_type_symbol
_atom_site_fract_x
_atom_site_fract_y
_atom_site_fract_z
Zn1 Zn 0.000 0.000 0.000
Co1 Co 0.500 0.500 0.500
Co2 Co 0.750 0.750 0.750
Si1 Si 0.250 0.250 0.250
```

***

First-principles (PBE-GGA) data for a relaxed TaHg2Au crystal, as listed in Alexandria via LeMat-Bulk.

* volume: 78.0 Å³/cell
* SG: P4/mmm
* energy above the most stable polymorph in this dataset: 95 meV per atom

```
data_TaHg2Au
_chemical_formula_sum 'Ta1 Hg2 Au1'
_symmetry_space_group_name_H-M 'P 1'
_symmetry_Int_Tables_number 1
_cell_length_a 3.033
_cell_length_b 3.033
_cell_length_c 8.485
_cell_angle_alpha 90.00
_cell_angle_beta 90.00
_cell_angle_gamma 90.00
loop_
_symmetry_equiv_pos_as_xyz
'x,y,z'
loop_
_atom_site_label
_atom_site_type_symbol
_atom_site_fract_x
_atom_site_fract_y
_atom_site_fract_z
Ta1 Ta 0.000 0.000 0.000
Hg1 Hg 0.500 0.500 0.248
Hg2 Hg 0.500 0.500 0.752
Au1 Au 0.000 0.000 0.500
```

***

First-principles (PBE-GGA) data for a relaxed TiCrBi3 crystal, as listed in Alexandria via LeMat-Bulk.

* volume: 144.6 Å³/cell
* SG: Pm-3m
* energy above the most stable polymorph in this dataset: 0 meV per atom

```
data_TiCrBi3
_chemical_formula_sum 'Ti1 Cr1 Bi3'
_symmetry_space_group_name_H-M 'P 1'
_symmetry_Int_Tables_number 1
_cell_length_a 5.249
_cell_length_b 5.249
_cell_length_c 5.249
_cell_angle_alpha 90.00
_cell_angle_beta 90.00
_cell_angle_gamma 90.00
loop_
_symmetry_equiv_pos_as_xyz
'x,y,z'
loop_
_atom_site_label
_atom_site_type_symbol
_atom_site_fract_x
_atom_site_fract_y
_atom_site_fract_z
Ti1 Ti 0.000 0.000 0.000
Cr1 Cr 0.500 0.500 0.500
Bi1 Bi 0.000 0.500 0.500
Bi2 Bi 0.500 0.000 0.500
Bi3 Bi 0.500 0.500 0.000
```